Entry 1:
A relaxed structure of NaCu3Se3. Source: Alexandria, functional PBE-GGA.

Cell lengths 6.8068, 6.8068, 6.8068 Å; angles 90.00, 90.00, 90.00 degrees
Closest atoms and distances in Å follow each position.
Space group Pm-3n (No. 223)
Inequivalent atoms, fractional coordinates:
Na (0.0000, 0.0000, 0.0000) x2  12 Se 3.81, 12 Cu 3.81
Cu (0.0000, 0.2500, 0.5000) x6  4 Se 2.41
Se (0.0000, 0.5000, 0.2500) x6  4 Cu 2.41

## Properties
The energy relative to the elements, uncorrected is -301.9 meV per atom. The density of states at the Fermi level is 0.7409 states/eV per atom. The calculation puts the total moment at 0.000 μB/atom. As for the excess energy over the best structure of this formula in the dataset: 61 meV/atom. The value obtained for the volume is 157.7 Å³/f.u.



Entry 2:
A relaxed structure of HfSe3S. Source: Alexandria, functional PBE-GGA.

Cell lengths 4.7650, 4.7650, 4.7650 Å; angles 90.00, 90.00, 90.00 degrees
Closest atoms and distances in Å follow each position.
Space group Pm-3m (No. 221)
Inequivalent atoms, fractional coordinates:
Hf (0.0000, 0.0000, 0.0000) x1  12 Se 3.37
Se (0.0000, 0.5000, 0.5000) x3  2 S 2.38
S (0.5000, 0.5000, 0.5000) x1  6 Se 2.38

## Properties
The energy relative to the elements, uncorrected is 352.7 meV per atom. The density of states at the Fermi level is 0.8172 states/eV per atom. The calculation puts the total moment at 0.088 μB/atom. As for the excess energy over the best structure of this formula in the dataset: 291 meV/atom. The value obtained for the volume is 108.2 Å³/f.u.



Entry 3:
A relaxed structure of Cs4CdAu. Source: Alexandria, functional PBE-GGA.

Cell lengths 12.0348, 17.4539, 8.6543 Å; angles 90.00, 123.02, 90.00 degrees
Closest atoms and distances in Å follow each position.
Space group C2/c (No. 15)
Inequivalent atoms, fractional coordinates:
Cs (0.1139, 0.1704, 0.0864) x8  2 Au 3.85-3.86, 2 Cd 4.09-4.15
Cs (0.2123, 0.4390, 0.2837) x8  2 Au 3.76-3.78, 1 Cd 4.10
Cd (0.0000, 0.3622, 0.7500) x4  8 Cs 4.09-4.22
Au (0.0000, 0.0001, 0.2500) x4  8 Cs 3.76-3.86

## Properties
The density of states at the Fermi level is 0.7285 states/eV per atom. The calculation puts the total moment at 0.000 μB/atom. The value obtained for the volume is 381.1 Å³/f.u. For the formation energy from the elements, the calculation gives -0.12 eV/atom.



Entry 4:
A relaxed structure of MgCr2Sb2. Source: Alexandria, functional PBE-GGA.

Cell lengths 7.5273, 7.5273, 3.5941 Å; angles 90.00, 90.00, 90.00 degrees
Closest atoms and distances in Å follow each position.
Space group P4/mbm (No. 127)
Inequivalent atoms, fractional coordinates:
Mg (0.0000, 0.0000, 0.0000) x2  4 Cr 2.93
Cr (0.1346, 0.3654, 0.0000) x4  6 Sb 2.79-2.89, 1 Cr 2.87, 2 Mg 2.93
Sb (0.1650, 0.6650, 0.5000) x4  6 Cr 2.79-2.89

## Properties
The energy relative to the elements, uncorrected is 219.2 meV per atom. The density of states at the Fermi level is 0.4735 states/eV per atom. The calculation puts the total moment at 1.223 μB/atom. The value obtained for the volume is 101.8 Å³/f.u.



Entry 5:
A relaxed structure of ThVRe2. Source: Alexandria, functional PBE-GGA.

Cell lengths 3.0261, 3.0261, 27.3675 Å; angles 90.00, 90.00, 120.00 degrees
Closest atoms and distances in Å follow each position.
Space group R-3m (No. 166, hexagonal axes)
Inequivalent atoms, fractional coordinates:
Th (0.0000, 0.0000, 0.0000) x3  6 Th 3.03, 6 Re 3.20
V (0.0000, 0.0000, 0.5000) x3  6 Re 2.56
Re (0.0000, 0.0000, 0.2352) x6  3 V 2.56

## Properties
The density of states at the Fermi level is 1.1945 states/eV per atom. The calculation puts the total moment at 0.000 μB/atom. The value obtained for the volume is 72.3 Å³/f.u. For the formation energy from the elements, the calculation gives 0.48 eV/atom.



Entry 6:
A relaxed structure of V3OsPd. Source: Alexandria, functional PBE-GGA.

Cell lengths 4.5662, 4.5662, 4.5662 Å; angles 90.00, 90.00, 90.00 degrees
Closest atoms and distances in Å follow each position.
Space group Pm-3m (No. 221)
Inequivalent atoms, fractional coordinates:
V (0.0000, 0.0000, 0.5000) x3  2 Os 2.28
Os (0.0000, 0.0000, 0.0000) x1  6 V 2.28
Pd (0.5000, 0.5000, 0.5000) x1  12 V 3.23

## Properties
The density of states at the Fermi level is 1.3948 states/eV per atom. The calculation puts the total moment at 0.493 μB/atom. As for the excess energy over the best structure of this formula in the dataset: 0 meV/atom. The value obtained for the volume is 95.2 Å³/f.u. For the formation energy from the elements, the calculation gives 1.03 eV/atom.



Entry 7:
A relaxed structure of ErAu2Br6. Source: Alexandria, functional PBE-GGA.

Cell lengths 13.0126, 13.0118, 8.1192 Å; angles 90.00, 103.77, 90.00 degrees
Closest atoms and distances in Å follow each position.
Space group C2/c (No. 15)
Inequivalent atoms, fractional coordinates:
Er (0.0000, 0.0789, 0.2500) x4  2 Br 2.62
Au (0.2283, 0.4691, 0.2143) x8  3 Br 2.44-2.70
Br (0.0952, 0.1004, 0.6146) x8  1 Au 2.55
Br (0.1089, 0.4882, 0.4420) x8  2 Au 2.44-2.70
Br (0.1482, 0.1991, 0.1902) x8  1 Er 2.62

## Properties
The energy relative to the elements, uncorrected is -750.8 meV per atom. The density of states at the Fermi level is 0.2444 states/eV per atom. The calculation puts the total moment at 0.000 μB/atom. The value obtained for the volume is 333.8 Å³/f.u.



Entry 8:
A relaxed structure of K3Te5. Source: Alexandria, functional PBE-GGA.

Cell lengths 9.4048, 10.6269, 5.2951 Å; angles 90.00, 90.00, 90.00 degrees
Closest atoms and distances in Å follow each position.
Space group Cmmm (No. 65)
Inequivalent atoms, fractional coordinates:
K (0.0000, 0.0000, 0.0000) x2  8 Te 3.55-3.72, 4 K 3.71
K (0.0000, 0.2451, 0.5000) x4  10 Te 3.42-3.79, 2 K 3.71
Te (0.0000, 0.5000, 0.0000) x2  8 Te 3.37-3.55
Te (0.2217, 0.5000, 0.5000) x4  6 Te 3.37-3.76, 6 K 3.42-3.72
Te (0.2500, 0.2500, 0.0000) x4  6 K 3.54-3.55, 6 Te 3.55-3.76

## Properties
The energy relative to the elements, uncorrected is -415.2 meV per atom. The density of states at the Fermi level is 0.3983 states/eV per atom. The calculation puts the total moment at 0.000 μB/atom. As for the excess energy over the best structure of this formula in the dataset: 185 meV/atom. The value obtained for the volume is 264.6 Å³/f.u.



Question: Look up the total moment of the second one.
Answer: 0.088 μB/atom